(1)
Computed, not measured: a geometry-optimized K3Rb4BeF8 structure at the PBE level of DFT.

Summary:
uncorrected formation energy: -2.48 eV per atom
electronic total energy: -65.47 eV/f.u.

Cell lengths 13.981, 7.692, 7.787 Å; angles 90.00, 123.78, 90.00 degrees
Space group C2/m (No. 12)
Inequivalent atoms, fractional coordinates:
1 K 0.000 0.000 0.000 x2
2 K 0.250 0.250 0.000 x4
3 Rb 0.000 0.000 0.500 x2
4 Rb 0.000 0.500 0.500 x2
5 Rb 0.250 0.250 0.500 x4
6 Be 0.000 0.500 0.000 x2
7 F 0.000 0.345 0.153 x8
8 F 0.225 0.000 0.739 x4
9 F 0.242 0.000 0.231 x4


(2)
Computed, not measured: a geometry-optimized KRb2BeF6 structure at the PBE level of DFT.

Summary:
uncorrected formation energy: -2.56 eV per atom
electronic total energy: -43.61 eV/f.u.

Cell lengths 8.684, 8.684, 8.684 Å; angles 90.00, 90.00, 90.00 degrees
Space group Fm-3m (No. 225)
Inequivalent atoms, fractional coordinates:
1 K 0.000 0.000 0.000 x4
2 Rb 0.250 0.250 0.250 x8
3 Be 0.000 0.000 0.500 x4
4 F 0.000 0.000 0.296 x24


(3)
Computed, not measured: a geometry-optimized KRbBe2F8 structure at the PBE level of DFT.

Summary:
uncorrected formation energy: -2.52 eV per atom
electronic total energy: -54.71 eV/f.u.

Cell lengths 5.3672, 5.3672, 8.9220 Å; angles 90.00, 90.00, 120.00 degrees
Space group P-3 (No. 147)
Inequivalent atoms, fractional coordinates:
1 K 0.0000 0.0000 0.0000 x1
2 Rb 0.0000 0.0000 0.5000 x1
3 Be 0.3333 0.6667 0.2731 x2
4 F 0.0858 0.3764 0.2149 x6
5 F 0.3333 0.6667 0.4476 x2


(4)
Computed, not measured: a geometry-optimized KBe2RhF8 structure at the PBE level of DFT.

Summary:
uncorrected formation energy: -2.56 eV per atom
electronic total energy: -61.58 eV/f.u.

Cell lengths 5.2463, 5.2463, 23.4627 Å; angles 90.00, 90.00, 120.00 degrees
Space group R-3m (No. 166, hexagonal axes)
Inequivalent atoms, fractional coordinates:
1 K 0.0000 0.0000 0.0000 x3
2 Be 0.0000 0.0000 0.2435 x6
3 Rh 0.0000 0.0000 0.5000 x3
4 F 0.0000 0.0000 0.3069 x6
5 F 0.0071 0.5035 0.8871 x18


(5)
Computed, not measured: a geometry-optimized KBeSF2 structure at the PBE level of DFT.

Summary:
uncorrected formation energy: -0.09 eV per atom
electronic total energy: -13.13 eV/f.u.

Cell lengths 4.355, 4.355, 6.012 Å; angles 90.00, 90.00, 90.00 degrees
Space group P4/mmm (No. 123)
Inequivalent atoms, fractional coordinates:
1 K 0.000 0.000 0.000 x1
2 Be 0.500 0.500 0.500 x1
3 S 0.000 0.000 0.500 x1
4 F 0.000 0.500 0.000 x2


(6)
Computed, not measured: a geometry-optimized KBeSbF6 structure at the PBE level of DFT.

Summary:
uncorrected formation energy: -2.76 eV per atom
electronic total energy: -44.99 eV/f.u.

Cell lengths 5.7497, 5.7497, 5.5888 Å; angles 90.00, 90.00, 120.00 degrees
Space group P3 (No. 143)
Inequivalent atoms, fractional coordinates:
1 K 0.0000 0.0000 0.0000 x1
2 Be 0.3333 0.6667 0.6759 x1
3 Sb 0.6667 0.3333 0.4655 x1
4 F 0.1012 0.3893 0.6842 x3
5 F 0.4060 0.3597 0.2539 x3